Entry 1:
ThCuNi4: optimized geometry, PBE-GGA.

Summary:
Magnetization, μB/atom: 0.00
Electronic total energy, eV/cell: -146.8
Volume, A^3/atom: 14.23
Energy relative to the elements, eV per formula unit: -2.063

Unit cell a=6.9894 b=6.9894 c=6.9894 alpha=90.00 beta=90.00 gamma=90.00
Last column: nearest neighbours and their distance in Å.
Space group F-43m (No. 216)
One atom of each set of equivalent atoms:
Th (0.0000, 0.0000, 0.0000)  12 Ni 2.90, 4 Cu 3.03
Cu (0.2500, 0.2500, 0.7500)  12 Ni 2.89, 4 Th 3.03
Ni (0.1235, 0.1235, 0.3765)  6 Ni 2.44-2.50

=====

Entry 2:
Tb5Pm2Dy4: optimized geometry, PBE-GGA.

Summary:
Magnetization, μB/atom: 0.00
Electronic total energy, eV/cell: -50.9
Volume, A^3/atom: 32.16
Energy relative to the elements, eV per formula unit: 0.175

Unit cell a=3.5679 b=8.7449 c=11.8378 alpha=104.20 beta=98.61 gamma=90.01
Last column: nearest neighbours and their distance in Å.
Space group P-1 (No. 2)
One atom of each set of equivalent atoms:
Tb (0.0000, 0.0000, 0.0000)  4 Dy 3.57, 2 Pm 3.57, 6 Tb 3.57-3.58
Tb (0.2725, 0.1827, 0.5446)  3 Dy 3.55-3.57, 7 Tb 3.56-3.59, 2 Pm 3.58
Tb (0.3631, 0.9076, 0.7268)  3 Dy 3.54-3.56, 7 Tb 3.56-3.59, 2 Pm 3.58
Pm (0.0907, 0.7274, 0.1817)  5 Tb 3.57-3.58, 2 Pm 3.57, 5 Dy 3.58-3.59
Dy (0.1818, 0.4540, 0.3641)  5 Tb 3.55-3.57, 6 Dy 3.56-3.57, 1 Pm 3.58
Dy (0.4540, 0.6372, 0.9075)  3 Tb 3.54-3.57, 5 Dy 3.56-3.61, 4 Pm 3.58-3.59

=====

Entry 3:
CuRhCl3: optimized geometry, PBE-GGA.

Summary:
Magnetization, μB/atom: 0.00
Electronic total energy, eV/cell: -16.5
Raw formation energy, kcal/mol of atoms: 2.11
Volume, A^3/atom: 21.87

Unit cell a=4.7821 b=4.7821 c=4.7821 alpha=90.00 beta=90.00 gamma=90.00
Last column: nearest neighbours and their distance in Å.
Space group Pm-3m (No. 221)
One atom of each set of equivalent atoms:
Cu (0.0000, 0.0000, 0.0000)  12 Cl 3.38
Rh (0.5000, 0.5000, 0.5000)  6 Cl 2.39
Cl (0.0000, 0.5000, 0.5000)  2 Rh 2.39

=====

Entry 4:
CsTlSnPSe: optimized geometry, PBE-GGA.

Summary:
Magnetization, μB/atom: 0.00
Electronic total energy, eV/cell: -35.7
Raw formation energy, kcal/mol of atoms: -7.91
Volume, A^3/atom: 37.53

Unit cell a=15.2610 b=4.1723 c=5.9321 alpha=90.00 beta=96.52 gamma=90.00
Last column: nearest neighbours and their distance in Å.
Space group Cm (No. 8)
One atom of each set of equivalent atoms:
Cs (0.0000, 0.0000, 0.0000)  2 P 3.58, 2 Se 3.61, 2 Sn 3.99
Tl (0.2889, 0.0000, 0.3454)  2 P 2.92-3.06, 2 Se 2.96
Sn (0.2031, 0.5000, 0.8152)  2 P 2.66, 1 Se 2.75
P (0.3123, 0.0000, 0.8404)  2 Sn 2.66, 1 Tl 2.92
Se (0.1521, 0.5000, 0.3547)  1 Sn 2.75, 2 Tl 2.96

=====

Entry 5:
SrTeSe2: optimized geometry, PBE-GGA.

Summary:
Magnetization, μB/atom: 0.00
Electronic total energy, eV/cell: -15.7
Raw formation energy, kcal/mol of atoms: -22.51
Volume, A^3/atom: 29.60

Unit cell a=4.3806 b=4.4071 c=6.1334 alpha=90.00 beta=90.29 gamma=90.00
Last column: nearest neighbours and their distance in Å.
Space group P2/m (No. 10)
One atom of each set of equivalent atoms:
Sr (0.0000, 0.0000, 0.0000)  6 Se 3.07-3.11
Te (0.5000, 0.5000, 0.5000)  6 Se 3.07-3.11
Se (0.0000, 0.0000, 0.5000)  2 Sr 3.07, 4 Te 3.11
Se (0.5000, 0.5000, 0.0000)  2 Te 3.07, 4 Sr 3.11

=====

Entry 6:
KBaSr2Ag: optimized geometry, PBE-GGA.

Summary:
Magnetization, μB/atom: 0.00
Electronic total energy, eV/cell: -9.6
Volume, A^3/atom: 54.16
Energy relative to the elements, eV per formula unit: -0.339

Unit cell a=6.4006 b=6.4006 c=6.6105 alpha=90.00 beta=90.00 gamma=90.00
Last column: nearest neighbours and their distance in Å.
Space group P4/mmm (No. 123)
One atom of each set of equivalent atoms:
K (0.0000, 0.0000, 0.0000)  4 Ba 4.53, 8 Sr 4.60
Ba (0.5000, 0.5000, 0.0000)  2 Ag 3.31
Sr (0.0000, 0.5000, 0.5000)  2 Ag 3.20
Ag (0.5000, 0.5000, 0.5000)  4 Sr 3.20, 2 Ba 3.31

=====

Entry 7:
CsHf3Au: optimized geometry, PBE-GGA.

Summary:
Magnetization, μB/atom: 0.00
Electronic total energy, eV/cell: -22.3
Volume, A^3/atom: 27.96
Energy relative to the elements, eV per formula unit: 11.653

Unit cell a=5.1900 b=5.1900 c=5.1900 alpha=90.00 beta=90.00 gamma=90.00
Last column: nearest neighbours and their distance in Å.
Space group Pm-3m (No. 221)
One atom of each set of equivalent atoms:
Cs (0.0000, 0.0000, 0.0000)  6 Hf 2.60
Hf (0.0000, 0.0000, 0.5000)  2 Cs 2.60
Au (0.5000, 0.5000, 0.5000)  12 Hf 3.67

=====

Entry 8:
Dy5CoSe4: optimized geometry, PBE-GGA.

Summary:
Magnetization, μB/atom: 0.00
Electronic total energy, eV/cell: -116.7
Raw formation energy, kcal/mol of atoms: -32.99
Volume, A^3/atom: 23.92

Unit cell a=9.0866 b=9.0866 c=5.7951 alpha=90.00 beta=90.00 gamma=90.00
Last column: nearest neighbours and their distance in Å.
Space group I4/m (No. 87)
One atom of each set of equivalent atoms:
Dy (0.0000, 0.0000, 0.0000)  2 Co 2.90, 4 Se 2.91
Dy (0.0932, 0.7279, 0.5000)  1 Co 2.61, 3 Se 2.88-2.92
Co (0.0000, 0.0000, 0.5000)  6 Dy 2.61-2.90
Se (0.0916, 0.6929, 0.0000)  6 Dy 2.88-3.04

=====

Entry 9:
Rb5Dy3Br12: optimized geometry, PBE-GGA.

Summary:
Magnetization, μB/atom: 0.06
Electronic total energy, eV/cell: -73.1
Raw formation energy, kcal/mol of atoms: -39.59
Volume, A^3/atom: 37.72

Unit cell a=14.1933 b=14.1933 c=4.3247 alpha=90.00 beta=90.00 gamma=120.00
Last column: nearest neighbours and their distance in Å.
Space group P-62m (No. 189)
One atom of each set of equivalent atoms:
Rb (0.0000, 0.7195, 0.0000)  7 Br 3.47-3.59
Rb (0.3333, 0.6667, 0.0000)  6 Br 3.51
Dy (0.0000, 0.3306, 0.5000)  6 Br 2.84-2.92
Br (0.0000, 0.1920, 0.0000)  2 Dy 2.92
Br (0.0000, 0.4666, 0.0000)  2 Dy 2.90
Br (0.2115, 0.7691, 0.5000)  1 Dy 2.84

=====

Entry 10:
BeGeSe2: optimized geometry, PBE-GGA.

Summary:
Magnetization, μB/atom: 0.00
Electronic total energy, eV/cell: -47.6
Raw formation energy, kcal/mol of atoms: -3.18
Volume, A^3/atom: 27.21

Unit cell a=4.2761 b=4.2761 c=20.6226 alpha=90.00 beta=90.00 gamma=120.00
Last column: nearest neighbours and their distance in Å.
Space group R-3m (No. 166, hexagonal axes)
One atom of each set of equivalent atoms:
Be (0.0000, 0.0000, 0.0000)  2 Se 2.02
Ge (0.0000, 0.0000, 0.5000)  6 Se 2.85
Se (0.0000, 0.0000, 0.0978)  1 Be 2.02

=====

Entry 11:
Dy3HoCd: optimized geometry, PBE-GGA.

Summary:
Magnetization, μB/atom: 0.00
Electronic total energy, eV/cell: -79.4
Volume, A^3/atom: 29.46
Energy relative to the elements, eV per formula unit: -0.547

Unit cell a=12.8738 b=3.6422 c=12.5966 alpha=90.00 beta=94.08 gamma=90.00
Last column: nearest neighbours and their distance in Å.
Space group C2/m (No. 12)
One atom of each set of equivalent atoms:
Dy (0.0356, 0.0000, 0.1897)  2 Cd 3.25, 5 Dy 3.42-3.54, 3 Ho 3.53-3.56
Dy (0.1344, 0.5000, 0.9783)  9 Dy 3.45-3.64, 3 Ho 3.65-3.67
Dy (0.1461, 0.0000, 0.4452)  4 Cd 3.19-3.30, 3 Dy 3.42-3.44, 2 Ho 3.56
Ho (0.2317, 0.0000, 0.7545)  2 Cd 3.20, 5 Dy 3.53-3.56
Cd (0.0604, 0.5000, 0.6275)  6 Dy 3.19-3.30, 2 Ho 3.20, 1 Cd 3.47

=====

Entry 12:
HfBeOsO2: optimized geometry, PBE-GGA.

Summary:
Magnetization, μB/atom: 0.28
Electronic total energy, eV/cell: -34.7
Raw formation energy, kcal/mol of atoms: 0.75
Volume, A^3/atom: 16.22

Unit cell a=3.7577 b=3.7577 c=5.7439 alpha=90.00 beta=90.00 gamma=90.00
Last column: nearest neighbours and their distance in Å.
Space group P4/mmm (No. 123)
One atom of each set of equivalent atoms:
Hf (0.0000, 0.0000, 0.0000)  4 Be 2.66, 2 Os 2.87
Be (0.5000, 0.5000, 0.0000)  4 Hf 2.66
Os (0.0000, 0.0000, 0.5000)  4 O 1.88
O (0.0000, 0.5000, 0.5000)  2 Os 1.88

=====

> Look up the electronic total energy of the third one.

-16.5 eV/cell